First-principles (PBE) data for a relaxed structure of BaRhIO2, as listed in Alexandria via LeMat-Bulk.

Output
- D(E_F) (states/eV/f.u.) = 2.4
- energy (eV/atom) = -4.061
- energy relative to the elements, uncorrected (eV/f.u.) = 0.44
- magnetic moment (μB/f.u.) = 2.14
- volume (A^3/atom) = 29.75

```
5
Lattice="-1.943 -1.878 -3.547 -1.240 -3.467 2.515 -6.404 3.494 1.659" Properties=species:S:1:pos:R:3 pbc="T T T"
I -3.202 1.747 0.829
Rh -4.794 -0.926 0.314
Ba 0.000 0.000 0.000
O -0.620 -1.733 1.258
O -0.972 -0.939 -1.773
```

---

First-principles (PBE) data for a relaxed structure of TbHo2Pd3, as listed in Alexandria via LeMat-Bulk.

Output
- D(E_F) (states/eV/f.u.) = 2.7
- energy (eV/atom) = -5.789
- magnetic moment (μB/f.u.) = 0.00
- volume (A^3/atom) = 21.46
- calculated formation energy (meV per atom) = -895

```
12
Lattice="3.428 0.000 0.000 0.000 5.003 0.000 0.000 0.000 15.013" Properties=species:S:1:pos:R:3 pbc="T T T"
Tb 0.003 2.501 7.507
Tb 3.425 0.000 0.000
Ho 0.002 0.000 10.011
Ho 0.002 0.000 5.002
Ho 3.426 2.501 2.504
Ho 3.426 2.501 12.509
Pd 1.715 2.501 10.043
Pd 1.718 0.000 7.507
Pd 1.715 2.501 4.970
Pd 1.713 0.000 2.536
Pd 1.710 2.501 0.000
Pd 1.713 0.000 12.477
```

---

First-principles (PBE) data for a relaxed structure of YReTc, as listed in Alexandria via LeMat-Bulk.

Output
- D(E_F) (states/eV/f.u.) = 1.8
- energy (eV/atom) = -9.830
- magnetic moment (μB/f.u.) = 0.00
- volume (A^3/atom) = 19.92
- calculated formation energy (meV per atom) = -71

```
6
Lattice="-1.958 -2.215 3.174 -2.169 -4.942 -1.824 3.445 -3.792 2.443" Properties=species:S:1:pos:R:3 pbc="T T T"
Tc -0.892 -2.298 0.810
Tc 0.210 -8.651 2.983
Re -1.269 -4.542 1.975
Re 0.587 -6.408 1.818
Y -2.523 -7.305 2.237
Y 1.841 -3.645 1.556
```

---

First-principles (PBE) data for a relaxed structure of TbCu2Ni4, as listed in Alexandria via LeMat-Bulk.

Output
- D(E_F) (states/eV/f.u.) = 6.5
- energy (eV/atom) = -4.739
- magnetic moment (μB/f.u.) = 1.38
- volume (A^3/atom) = 17.45
- calculated formation energy (meV per atom) = 397

```
7
Lattice="5.507 -0.609 0.000 -2.781 4.792 0.000 -1.363 -2.091 4.946" Properties=species:S:1:pos:R:3 pbc="T T T"
Tb 0.000 0.000 0.000
Cu -1.390 2.396 2.473
Cu 2.754 -0.305 2.473
Ni 2.286 1.490 1.102
Ni 0.440 2.693 1.102
Ni 0.923 -0.602 3.845
Ni -0.923 0.602 3.845
```

---

First-principles (PBE) data for a relaxed structure of KFe4Co, as listed in Alexandria via LeMat-Bulk.

Output
- D(E_F) (states/eV/f.u.) = 8.9
- energy (eV/atom) = -6.141
- magnetic moment (μB/f.u.) = 12.35
- volume (A^3/atom) = 15.03
- calculated formation energy (meV per atom) = 868

```
6
Lattice="1.157 2.009 4.469 2.224 4.510 0.232 -2.560 3.984 1.707" Properties=species:S:1:pos:R:3 pbc="T T T"
K 0.615 7.877 4.806
Fe 0.891 4.940 4.651
Fe -0.986 5.937 3.257
Fe 1.429 6.203 2.513
Fe 0.307 3.926 2.395
Co 0.000 0.000 0.000
```

---

First-principles (PBE) data for a relaxed structure of CrCdOs2, as listed in Alexandria via LeMat-Bulk.

Output
- D(E_F) (states/eV/f.u.) = 1.6
- energy (eV/atom) = -7.419
- magnetic moment (μB/f.u.) = 0.00
- volume (A^3/atom) = 16.67
- calculated formation energy (meV per atom) = 830

```
8
Lattice="-2.100 -0.995 -6.771 4.126 -5.835 -0.422 -0.972 -4.879 -2.766" Properties=species:S:1:pos:R:3 pbc="T T T"
Cr 1.013 -3.415 -3.597
Cr 2.083 -7.065 -3.392
Os -0.910 -2.510 -4.558
Os 1.943 -5.053 -2.220
Os 0.285 -6.581 -4.798
Os 0.789 -9.276 -8.342
Cd 0.000 0.000 0.000
Cd -1.030 -4.645 -6.567
```

---

First-principles (PBE) data for a relaxed structure of Be2Ru2Pb, as listed in Alexandria via LeMat-Bulk.

Output
- D(E_F) (states/eV/f.u.) = 2.0
- energy (eV/atom) = -5.759
- magnetic moment (μB/f.u.) = 0.00
- volume (A^3/atom) = 14.31
- calculated formation energy (meV per atom) = 184

```
10
Lattice="6.814 0.000 0.000 0.000 6.814 0.000 0.000 0.000 3.082" Properties=species:S:1:pos:R:3 pbc="T T T"
Pb 0.000 0.000 0.000
Pb 3.407 3.407 0.000
Ru 2.413 5.820 0.000
Ru 5.820 4.401 0.000
Ru 4.401 0.994 0.000
Ru 0.994 2.413 0.000
Be 0.851 4.258 1.541
Be 4.258 5.963 1.541
Be 5.963 2.556 1.541
Be 2.556 0.851 1.541
```

---

First-principles (PBE) data for a relaxed structure of Rb2SiCS, as listed in Alexandria via LeMat-Bulk.

Output
- D(E_F) (states/eV/f.u.) = 2.6
- energy (eV/atom) = -3.905
- energy relative to the elements, uncorrected (eV/f.u.) = 1.18
- magnetic moment (μB/f.u.) = 0.00
- volume (A^3/atom) = 27.71

```
5
Lattice="-4.080 -4.743 -0.917 0.071 -0.716 3.389 -4.829 3.972 0.940" Properties=species:S:1:pos:R:3 pbc="T T T"
C 0.000 0.000 0.000
S -4.419 -0.744 1.706
Si 0.035 -0.358 1.695
Rb -2.415 1.986 0.470
Rb -2.040 -2.372 -0.459
```